(1)
Density functional theory data (GGA-PBE) for SnOs3Se after structural relaxation.

Output
size of the total moment: 0.000 μB/f.u.
formation energy (no corrections): 1653.6 meV/atom
ΔE to the lowest computed polymorph: 0 meV per atom
VASP energy: -32.91 eV per cell
symmetry: Pm-3m, No. 221

Unit cell a=4.589 b=4.589 c=4.589 alpha=90.00 beta=90.00 gamma=90.00
Fractional coordinates of all 5 atoms:
Sn: 0.500 0.500 0.500
Os: 0.000 0.000 0.500
Os: 0.500 0.000 0.000
Os: 0.000 0.500 0.000
Se: 0.000 0.000 0.000


(2)
Density functional theory data (GGA-PBE) for YSn2OsSe after structural relaxation.

Output
size of the total moment: 3.389 μB/f.u.
formation energy (no corrections): 1348.7 meV/atom
VASP energy: -22.44 eV per cell
symmetry: P4/mmm, No. 123

Unit cell a=5.841 b=5.173 c=5.841 alpha=90.00 beta=90.00 gamma=90.00
Site moments in Bohr magnetons follow the coordinates.
Fractional coordinates of all 5 atoms:
Y: 0.000 0.000 0.000  0.07
Sn: 0.000 0.000 0.500  -0.02
Sn: 0.500 0.000 0.000  0.00
Os: 0.500 0.500 0.500  2.90
Se: 0.000 0.500 0.000  0.04


(3)
Density functional theory data (GGA-PBE) for SrOs3Se after structural relaxation.

Output
size of the total moment: 0.000 μB/f.u.
formation energy (no corrections): 1236.5 meV/atom
ΔE to the lowest computed polymorph: 0 meV per atom
VASP energy: -32.67 eV per cell
symmetry: Pm-3m, No. 221

Unit cell a=4.656 b=4.656 c=4.656 alpha=90.00 beta=90.00 gamma=90.00
Fractional coordinates of all 5 atoms:
Se: 0.000 0.000 0.000
Os: 0.000 0.000 0.500
Os: 0.000 0.500 0.000
Os: 0.500 0.000 0.000
Sr: 0.500 0.500 0.500